1.
SnBi4Pb4 | PBE | optimized geometry

Calculated values
**Formation energy**: 0.6 eV per formula unit
**Total moment**: 0.000 μB/f.u.

a b c (Å): 10.626 10.626 5.020
angles (deg): 90.00 90.00 90.00
Space group I4/mmm (No. 139)
Unique sites:
Sn 0.000 0.000 0.000 [2 per cell]
Bi 0.000 0.328 0.000 [8 per cell]
Pb 0.165 0.165 0.500 [8 per cell]

2.
MnCo3 | PBE | optimized geometry

Calculated values
**Formation energy**: 0.4 eV per formula unit
**Total moment**: 6.145 μB/f.u.

a b c (Å): 8.295 2.487 4.332
angles (deg): 90.00 99.64 90.00
Space group C2/m (No. 12)
Unique sites:
Mn 0.000 0.000 0.000 [2 per cell]
Co 0.000 0.500 0.500 [2 per cell]
Co 0.246 0.000 0.745 [4 per cell]

3.
TlIn2Re | PBE | optimized geometry

Calculated values
**Formation energy**: 3.0 eV per formula unit
**Offset from the most stable computed form**: 112 kJ/mol of formula units
**Total moment**: 0.000 μB/f.u.

a b c (Å): 4.340 4.340 8.768
angles (deg): 90.00 90.00 90.00
Space group I4/mmm (No. 139)
Unique sites:
Tl 0.000 0.000 0.000 [2 per cell]
In 0.000 0.500 0.250 [4 per cell]
Re 0.000 0.000 0.500 [2 per cell]

4.
TbHo2Er2Sc | PBE | optimized geometry

Calculated values
**Formation energy**: 0.6 eV per formula unit
**Total moment**: 0.000 μB/f.u.

a b c (Å): 6.849 9.511 5.487
angles (deg): 90.00 90.00 90.00
Space group Pnnm (No. 58)
Unique sites:
Tb 0.000 0.000 0.000 [2 per cell]
Ho 0.248 0.333 0.000 [4 per cell]
Er 0.248 0.666 0.000 [4 per cell]
Sc 0.000 0.500 0.500 [2 per cell]

Results for uncorrected energy: -3.75; -7.51; -4.33; -4.78 (in eV/atom, following the order of the records).